Compound: BaAg2Au8
Source: Alexandria
Functional: PBE-GGA
Structure: optimized geometry

CIF file:
```
data_BaAg2Au8
_chemical_formula_sum 'Ba1 Ag2 Au8'
_cell_length_a 5.5048
_cell_length_b 5.5048
_cell_length_c 9.6672
_cell_angle_alpha 90.00
_cell_angle_beta 90.00
_cell_angle_gamma 90.00
_space_group_name_H-M_alt 'P 4/m m m'
_space_group_IT_number 123
_space_group_name_Hall '-P 4 2'
loop_
_atom_site_label
_atom_site_type_symbol
_atom_site_fract_x
_atom_site_fract_y
_atom_site_fract_z
Ba1 Ba 0.0000 0.0000 0.0000
Ag1 Ag 0.0000 0.5000 0.5000
Au1 Au 0.2515 0.2515 0.2819
```

Computed properties:
* DFT total energy: -3.118 eV per atom
* calculated formation energy: -0.04 eV per atom